First-principles (PBE+U) data for crystalline Sc3VO7 at its relaxed geometry, as listed in Alexandria.

a b c (Å): 7.1912 9.8792 6.9769
angles (deg): 90.00 90.00 90.00
Closest atoms and distances in Å follow each position.
Space group C222_1 (No. 20)
Unique sites:
Sc (0.0568, 0.0000, 0.0000) (multiplicity 4)  6 O 2.12-2.30
Sc (0.2295, 0.2703, 0.7615) (multiplicity 8)  7 O 2.06-2.30
V (0.0101, 0.5000, 0.0000) (multiplicity 4)  4 O 1.78-1.88
O (0.0000, 0.1262, 0.2500) (multiplicity 4)  4 Sc 2.18-2.20
O (0.0000, 0.1457, 0.7500) (multiplicity 4)  4 Sc 2.06-2.30
O (0.0000, 0.4296, 0.7500) (multiplicity 4)  2 V 1.88
O (0.1724, 0.3699, 0.0541) (multiplicity 8)  1 V 1.78
O (0.2059, 0.3742, 0.4752) (multiplicity 8)  1 V 2.00, 2 Sc 2.12

Calculated values
The value obtained for the total energy is -8.523 eV per atom.